Below is crystalline Ac4SiGeI2 at its relaxed geometry, with properties calculated at the PBE level.

abc: 7.994 4.619 8.551
angles: 90.00 108.19 90.00
Element x y z (fractional)
Ac  0.231  0.000  0.200
Ac  0.264  0.500  0.799
Ac  0.736  0.500  0.201
Ac  0.769  0.000  0.800
Si  0.000  0.500  0.000
Ge  0.500  0.000  0.000
I  0.000  0.000  0.500
I  0.500  0.500  0.500

- formation energy without anion corrections (eV/atom) = -0.970
- crystal system = monoclinic
- symmetry = No. 10
- total magnetization (μB/atom) = 0.0000